Record 1
This record from Alexandria via LeMat-Bulk describes a geometry-optimized Zr2NiW structure. The functional is PBE.

- Energy of formation from the pure elements: 0.76 eV per atom
- Crystal system: tetragonal
- Energy above the lowest structure with this stoichiometry: 879 meV/atom
- SG: No. 122

a b c (Å): 9.916 9.916 9.916
angles (deg): 156.70 156.70 33.19
Fractional coordinates of all 8 atoms:
Zr: 0.124 0.625 0.999
Zr: 0.375 0.374 0.499
Zr: 0.626 0.125 0.001
Zr: 0.875 0.876 0.501
Ni: 0.000 0.000 0.000
Ni: 0.750 0.250 0.500
W: 0.250 0.750 0.500
W: 0.500 0.500 0.000



Record 2
This record from Alexandria via LeMat-Bulk describes a geometry-optimized NiAgRh4 structure. The functional is PBE.

- Energy of formation from the pure elements: 0.50 eV per atom
- Crystal system: cubic
- SG: No. 216

a b c (Å): 5.121 5.121 5.121
angles (deg): 60.00 60.00 60.00
Fractional coordinates of all 6 atoms:
Ni: 0.000 0.000 0.000
Ag: 0.250 0.250 0.250
Rh: 0.124 0.625 0.625
Rh: 0.625 0.124 0.625
Rh: 0.625 0.625 0.124
Rh: 0.625 0.625 0.625



Record 3
This record from Alexandria via LeMat-Bulk describes a geometry-optimized MnNi2Ru structure. The functional is PBE.

- Energy of formation from the pure elements: 0.06 eV per atom
- Crystal system: orthorhombic
- SG: No. 47

a b c (Å): 2.602 3.656 5.112
angles (deg): 90.00 90.00 90.00
Fractional coordinates of all 4 atoms:
Mn: 0.000 0.000 0.000
Ni: 0.500 0.500 0.251
Ni: 0.500 0.500 0.749
Ru: 0.000 0.000 0.500



Record 4
This record from Alexandria via LeMat-Bulk describes a geometry-optimized PmSmPtAu structure. The functional is PBE.

- Energy of formation from the pure elements: -0.94 eV per atom
- Crystal system: cubic
- Energy above the lowest structure with this stoichiometry: 67 meV/atom
- SG: No. 216

a b c (Å): 5.134 5.134 5.134
angles (deg): 60.00 60.00 60.00
Fractional coordinates of all 4 atoms:
Pm: 0.000 0.000 0.000
Sm: 0.500 0.500 0.500
Pt: 0.750 0.750 0.750
Au: 0.250 0.250 0.250



Record 5
This record from Alexandria via LeMat-Bulk describes a geometry-optimized CeEuMg4 structure. The functional is PBE.

- Energy of formation from the pure elements: -0.02 eV per atom
- Crystal system: cubic
- SG: No. 216

a b c (Å): 6.174 6.174 6.174
angles (deg): 60.00 60.00 60.00
Fractional coordinates of all 6 atoms:
Ce: 0.000 0.000 0.000
Eu: 0.250 0.250 0.250
Mg: 0.123 0.626 0.626
Mg: 0.626 0.123 0.626
Mg: 0.626 0.626 0.123
Mg: 0.626 0.626 0.626



Record 6
This record from Alexandria via LeMat-Bulk describes a geometry-optimized CoNiBr2 structure. The functional is PBE.

- Uncorrected formation energy: 96 kJ per mole of atoms
- Crystal system: cubic
- Energy above the lowest structure with this stoichiometry: 942 meV/atom
- SG: No. 216

a b c (Å): 4.725 4.725 4.725
angles (deg): 60.00 60.00 60.00
Fractional coordinates of all 4 atoms:
Co: 0.000 0.000 0.000
Ni: 0.750 0.750 0.750
Br: 0.250 0.250 0.250
Br: 0.500 0.500 0.500



Record 7
This record from Alexandria via LeMat-Bulk describes a geometry-optimized YNb2NO5 structure. The functional is PBE.

- Uncorrected formation energy: -245 kJ per mole of atoms
- Crystal system: triclinic
- Energy above the lowest structure with this stoichiometry: 1 meV/atom
- SG: No. 2

a b c (Å): 5.334 5.750 15.062
angles (deg): 89.86 89.54 89.55
Fractional coordinates of all 36 atoms:
Y: 0.247 0.268 0.499
Y: 0.250 0.766 0.999
Y: 0.750 0.234 0.001
Y: 0.753 0.732 0.501
Nb: 0.177 0.807 0.662
Nb: 0.205 0.322 0.839
Nb: 0.311 0.807 0.332
Nb: 0.324 0.316 0.165
Nb: 0.676 0.684 0.835
Nb: 0.689 0.193 0.668
Nb: 0.795 0.678 0.161
Nb: 0.823 0.193 0.338
N: 0.085 0.583 0.586
N: 0.477 0.438 0.907
N: 0.523 0.562 0.093
N: 0.915 0.417 0.414
O: 0.026 0.429 0.094
O: 0.033 0.935 0.409
O: 0.081 0.093 0.917
O: 0.142 0.631 0.242
O: 0.152 0.135 0.261
O: 0.359 0.644 0.760
O: 0.374 0.151 0.743
O: 0.418 0.085 0.084
O: 0.418 0.589 0.415
O: 0.470 0.943 0.593
O: 0.530 0.057 0.407
O: 0.582 0.411 0.585
O: 0.582 0.915 0.916
O: 0.626 0.849 0.257
O: 0.641 0.356 0.240
O: 0.848 0.865 0.739
O: 0.858 0.369 0.758
O: 0.919 0.907 0.083
O: 0.967 0.065 0.591
O: 0.974 0.571 0.906



Record 8
This record from Alexandria via LeMat-Bulk describes a geometry-optimized LaH8Rh2 structure. The functional is PBE.

- Crystal system: tetragonal
- Energy above the lowest structure with this stoichiometry: 109 meV/atom
- SG: No. 139

a b c (Å): 6.063 6.063 6.063
angles (deg): 137.19 137.19 62.15
Fractional coordinates of all 11 atoms:
La: 0.000 0.000 0.000
H: 0.113 0.113 0.553
H: 0.113 0.560 0.000
H: 0.440 0.440 0.553
H: 0.440 0.887 0.000
H: 0.560 0.113 0.000
H: 0.560 0.560 0.447
H: 0.887 0.440 0.000
H: 0.887 0.887 0.447
Rh: 0.250 0.750 0.500
Rh: 0.750 0.250 0.500